No. 1
Entry from the Alexandria database: an optimized crystal structure of Mo2IrOs2 (PBE).

Geometry as POSCAR:
```
Mo2IrOs2
1.0
-6.225 -3.564 1.544
-0.918 -1.485 -7.127
1.494 -2.470 0.322
Mo Os Ir
4 4 2
Direct
0.831 0.331 0.500
0.331 0.169 0.500
0.669 0.831 0.500
0.169 0.669 0.500
0.631 0.131 0.000
0.869 0.631 0.000
0.369 0.869 0.000
0.131 0.369 0.000
0.500 0.500 0.000
0.000 0.000 0.000
```

V, Å³ per atom: 15.638
E_form, meV/atom: 200
Polymorph energy (0 for the lowest one), eV/atom: 0.214

No. 2
Entry from the Alexandria database: an optimized crystal structure of Mo2Ir2Os (PBE).

Geometry as POSCAR:
```
Mo2Ir2Os
1.0
4.658 -0.809 0.864
1.386 4.489 0.892
1.063 0.633 3.704
Os Mo Ir
1 2 2
Direct
0.000 0.500 0.000
0.796 0.112 0.795
0.204 0.888 0.205
0.599 0.700 0.600
0.401 0.300 0.400
```

V, Å³ per atom: 14.967
E_form, meV/atom: -118
Polymorph energy (0 for the lowest one), eV/atom: 0.000

No. 3
Entry from the Alexandria database: an optimized crystal structure of Mo5Ir6Os (PBE).

Geometry as POSCAR:
```
Mo5Ir6Os
1.0
3.757 -0.003 -1.053
-2.643 6.439 -2.220
0.021 0.202 7.303
Ir Mo Os
6 5 1
Direct
0.249 0.415 0.082
0.252 0.752 0.752
0.751 0.918 0.585
0.751 0.585 0.918
0.249 0.082 0.415
0.748 0.248 0.248
0.500 0.166 0.834
0.000 0.335 0.665
0.500 0.834 0.166
0.000 0.665 0.335
0.500 0.500 0.500
0.000 0.000 0.000
```

V, Å³ per atom: 14.916
E_form, meV/atom: -255

No. 4
Entry from the Alexandria database: an optimized crystal structure of Mo2IrOs2 (PBE).

Geometry as POSCAR:
```
Mo2IrOs2
1.0
-3.411 1.595 -1.026
-2.361 -2.448 -3.416
-3.723 -1.536 2.569
Os Mo Ir
2 2 1
Direct
0.395 0.305 0.407
0.605 0.695 0.593
0.797 0.112 0.795
0.203 0.888 0.205
0.000 0.500 0.000
```

V, Å³ per atom: 14.985
E_form, meV/atom: -15
Polymorph energy (0 for the lowest one), eV/atom: 0.000

No. 5
Entry from the Alexandria database: an optimized crystal structure of MoIrOsPb2 (PBE).

Geometry as POSCAR:
```
MoIrOsPb2
1.0
5.257 0.000 0.000
0.000 4.675 0.000
0.000 0.000 5.257
Ir Mo Pb Os
1 1 2 1
Direct
0.500 0.500 0.500
0.000 0.000 0.000
0.500 0.000 0.000
0.000 0.000 0.500
0.000 0.500 0.000
```

V, Å³ per atom: 25.839
E_form, meV/atom: 1859

No. 6
Entry from the Alexandria database: an optimized crystal structure of MoIr2OsPd (PBE).

Geometry as POSCAR:
```
MoIr2OsPd
1.0
4.649 0.000 0.000
0.000 4.649 0.000
0.000 0.000 4.690
Pd Ir Os Mo
1 2 1 1
Direct
0.000 0.000 0.500
0.000 0.500 0.000
0.500 0.000 0.000
0.500 0.500 0.500
0.000 0.000 0.000
```

V, Å³ per atom: 20.272
E_form, meV/atom: 2096

No. 7
Entry from the Alexandria database: an optimized crystal structure of MoIrOs2Rh (PBE).

Geometry as POSCAR:
```
MoIrOs2Rh
1.0
-3.852 -2.137 1.554
1.973 -4.127 -0.785
1.743 0.009 4.333
Os Ir Rh Mo
2 1 1 1
Direct
0.500 0.000 0.000
0.000 0.000 0.500
0.000 0.000 0.000
0.500 0.500 0.500
0.000 0.500 0.000
```

V, Å³ per atom: 20.252
E_form, meV/atom: 2197

No. 8
Entry from the Alexandria database: an optimized crystal structure of MoIrOs2Ru4 (PBE).

Geometry as POSCAR:
```
MoIrOs2Ru4
1.0
-0.747 4.393 5.883
-2.228 -5.529 4.352
5.144 -0.554 -1.384
Os Ru Mo Ir
4 8 2 2
Direct
0.500 0.000 0.000
0.000 0.000 0.500
0.500 0.500 0.000
0.500 0.000 0.500
0.739 0.761 0.497
0.261 0.239 0.997
0.261 0.734 0.998
0.766 0.239 0.502
0.739 0.761 0.003
0.234 0.761 0.498
0.261 0.239 0.503
0.739 0.266 0.002
0.000 0.000 0.000
0.500 0.500 0.500
0.000 0.500 0.500
0.000 0.500 0.000
```

V, Å³ per atom: 15.740
E_form, meV/atom: 836

No. 9
Entry from the Alexandria database: an optimized crystal structure of TcMoIrOs (PBE).

Geometry as POSCAR:
```
TcMoIrOs
1.0
-3.701 1.029 0.583
-0.952 -1.459 -3.473
1.621 -3.260 3.096
Ir Os Mo Tc
1 1 1 1
Direct
0.370 0.870 0.740
0.120 0.120 0.240
0.620 0.619 0.240
0.870 0.370 0.740
```

V, Å³ per atom: 14.763
E_form, meV/atom: -85

No. 10
Entry from the Alexandria database: an optimized crystal structure of Mo2PIr (PBE).

Geometry as POSCAR:
```
Mo2PIr
1.0
-1.873 1.873 4.125
1.873 -1.873 4.125
1.873 1.873 -4.125
P Mo Ir
1 2 1
Direct
0.500 0.500 0.000
0.250 0.750 0.500
0.750 0.250 0.500
0.000 0.000 0.000
```

V, Å³ per atom: 14.467
E_form, meV/atom: -11

No. 11
Entry from the Alexandria database: an optimized crystal structure of Mo2PIr (PBE).

Geometry as POSCAR:
```
Mo2PIr
1.0
-4.978 2.662 0.915
-1.054 -0.038 -5.621
-5.366 -3.243 -1.882
P Ir Mo
2 2 4
Direct
0.500 0.500 0.000
0.250 0.750 0.500
0.750 0.250 0.500
0.000 0.000 0.000
0.375 0.385 0.750
0.875 0.865 0.750
0.135 0.625 0.250
0.615 0.125 0.250
```

V, Å³ per atom: 21.043
E_form, meV/atom: 560

No. 12
Entry from the Alexandria database: an optimized crystal structure of Mo2PIr (PBE).

Geometry as POSCAR:
```
Mo2PIr
1.0
0.000 3.091 3.091
3.091 0.000 3.091
3.091 3.091 0.000
P Mo Ir
1 2 1
Direct
0.250 0.250 0.250
0.750 0.750 0.750
0.000 0.000 0.000
0.500 0.500 0.500
```

V, Å³ per atom: 14.762
E_form, meV/atom: 218

No. 13
Entry from the Alexandria database: an optimized crystal structure of MoPIr (PBE).

Geometry as POSCAR:
```
MoPIr
1.0
-1.465 1.465 4.881
1.465 -1.465 4.881
1.465 1.465 -4.881
Ir P Mo
1 1 1
Direct
0.988 0.988 0.000
0.326 0.326 0.000
0.686 0.686 0.000
```

V, Å³ per atom: 13.975
E_form, meV/atom: -245

No. 14
Entry from the Alexandria database: an optimized crystal structure of Mo2PIr (PBE).

Geometry as POSCAR:
```
Mo2PIr
1.0
-1.013 -2.085 1.687
3.594 -0.826 1.135
-0.478 3.541 4.090
Mo Ir P
2 1 1
Direct
0.500 0.500 0.298
0.000 0.000 0.960
0.500 0.500 0.771
0.000 0.000 0.471
```

V, Å³ per atom: 15.019
E_form, meV/atom: -16

No. 15
Entry from the Alexandria database: an optimized crystal structure of Mo2PIr (PBE).

Geometry as POSCAR:
```
Mo2PIr
1.0
-0.532 -0.427 3.880
-1.223 -2.492 -0.442
4.198 -3.368 0.205
Mo P Ir
2 1 1
Direct
0.000 0.090 0.236
0.000 0.910 0.764
0.500 0.500 0.000
0.500 0.500 0.500
```

V, Å³ per atom: 14.577
E_form, meV/atom: -159

No. 16
Entry from the Alexandria database: an optimized crystal structure of Mo2PIr (PBE).

Geometry as POSCAR:
```
Mo2PIr
1.0
2.502 -4.123 0.000
2.502 4.123 0.000
0.000 0.000 2.838
Mo Ir P
2 1 1
Direct
0.000 0.500 0.000
0.500 0.000 0.000
0.500 0.500 0.500
0.000 0.000 0.500
```

V, Å³ per atom: 14.638
E_form, meV/atom: -5

No. 17
Entry from the Alexandria database: an optimized crystal structure of MoP3Ir (PBE).

Geometry as POSCAR:
```
MoP3Ir
1.0
4.548 0.000 0.000
0.000 4.548 0.000
0.000 0.000 4.548
P Ir Mo
3 1 1
Direct
0.000 0.500 0.000
0.000 0.000 0.500
0.500 0.000 0.000
0.000 0.000 0.000
0.500 0.500 0.500
```

V, Å³ per atom: 18.809
E_form, meV/atom: 1169
Polymorph energy (0 for the lowest one), eV/atom: 0.075

No. 18
Entry from the Alexandria database: an optimized crystal structure of MoP2Ir (PBE).

Geometry as POSCAR:
```
MoP2Ir
1.0
4.206 0.002 0.000
-0.001 4.206 0.000
0.000 0.000 3.040
P Ir Mo
2 1 1
Direct
0.000 0.000 0.000
0.500 0.500 0.000
0.500 0.000 0.500
0.000 0.500 0.500
```

V, Å³ per atom: 13.442
E_form, meV/atom: -233
Polymorph energy (0 for the lowest one), eV/atom: 0.161

No. 19
Entry from the Alexandria database: an optimized crystal structure of MoP2Ir (PBE).

Geometry as POSCAR:
```
MoP2Ir
1.0
-2.074 -2.071 0.698
3.507 -3.670 -0.466
0.878 0.368 3.701
P Ir Mo
2 1 1
Direct
0.500 0.500 0.000
0.000 0.000 0.000
0.500 0.000 0.500
0.000 0.500 0.500
```

V, Å³ per atom: 14.672
E_form, meV/atom: 170
Polymorph energy (0 for the lowest one), eV/atom: 0.564

No. 20
Entry from the Alexandria database: an optimized crystal structure of Mo2PIr (PBE).

Geometry as POSCAR:
```
Mo2PIr
1.0
-3.910 -0.149 -3.619
1.994 -1.722 4.633
-1.869 2.942 1.898
P Ir Mo
1 1 2
Direct
0.699 0.301 0.000
0.566 0.434 0.500
0.297 0.703 0.500
0.939 0.061 0.000
```

V, Å³ per atom: 14.587
E_form, meV/atom: -234

No. 21
Entry from the Alexandria database: an optimized crystal structure of Mo2PIr (PBE).

Geometry as POSCAR:
```
Mo2PIr
1.0
1.482 4.610 0.030
-1.482 4.610 0.030
0.000 0.450 4.342
Ir P Mo
1 1 2
Direct
0.000 0.000 0.500
0.500 0.500 0.000
0.260 0.260 0.748
0.740 0.740 0.252
```

V, Å³ per atom: 14.823
E_form, meV/atom: 15

No. 22
Entry from the Alexandria database: an optimized crystal structure of MoPIr (PBE).

Geometry as POSCAR:
```
MoPIr
1.0
-1.417 1.993 3.834
1.417 -1.993 3.834
1.417 1.993 -3.834
Ir P Mo
1 1 1
Direct
0.008 0.008 0.000
0.332 0.332 0.000
0.660 0.660 0.000
```

V, Å³ per atom: 14.444
E_form, meV/atom: 9

No. 23
Entry from the Alexandria database: an optimized crystal structure of MoP2Ir (PBE).

Geometry as POSCAR:
```
MoP2Ir
1.0
1.897 -0.907 3.681
-1.193 1.992 3.547
-2.111 -2.112 3.009
Mo P Ir
1 2 1
Direct
0.000 0.000 0.000
0.750 0.750 0.750
0.250 0.250 0.250
0.500 0.500 0.500
```

V, Å³ per atom: 13.466
E_form, meV/atom: -208
Polymorph energy (0 for the lowest one), eV/atom: 0.186

No. 24
Entry from the Alexandria database: an optimized crystal structure of Mo3PIr (PBE).

Geometry as POSCAR:
```
Mo3PIr
1.0
4.386 0.000 0.000
0.000 4.386 0.000
0.000 0.000 4.386
Ir Mo P
1 3 1
Direct
0.500 0.500 0.500
0.000 0.000 0.500
0.000 0.500 0.000
0.500 0.000 0.000
0.000 0.000 0.000
```

V, Å³ per atom: 16.870
E_form, meV/atom: 648
Polymorph energy (0 for the lowest one), eV/atom: 0.000

No. 25
Entry from the Alexandria database: an optimized crystal structure of MoP2Ir (PBE).

Geometry as POSCAR:
```
MoP2Ir
1.0
-0.450 2.412 2.163
0.256 -2.150 2.452
5.228 0.820 0.173
P Ir Mo
2 1 1
Direct
0.500 0.500 0.288
0.000 0.000 0.975
0.000 0.000 0.429
0.500 0.500 0.808
```

V, Å³ per atom: 14.163
E_form, meV/atom: -266
Polymorph energy (0 for the lowest one), eV/atom: 0.128

No. 26
Entry from the Alexandria database: an optimized crystal structure of MoP3Ir (PBE).

Geometry as POSCAR:
```
MoP3Ir
1.0
4.596 0.000 0.000
0.000 4.596 0.000
0.000 0.000 4.596
P Ir Mo
3 1 1
Direct
0.500 0.000 0.000
0.000 0.500 0.000
0.000 0.000 0.500
0.500 0.500 0.500
0.000 0.000 0.000
```

V, Å³ per atom: 19.416
E_form, meV/atom: 1094
Polymorph energy (0 for the lowest one), eV/atom: 0.000

No. 27
Entry from the Alexandria database: an optimized crystal structure of Mo2PIr (PBE).

Geometry as POSCAR:
```
Mo2PIr
1.0
2.950 0.000 0.000
0.000 2.950 0.000
0.000 0.000 6.734
Ir Mo P
1 2 1
Direct
0.500 0.500 0.733
0.500 0.500 0.292
0.000 0.000 0.998
0.000 0.000 0.477
```

V, Å³ per atom: 14.655
E_form, meV/atom: -122

No. 28
Entry from the Alexandria database: an optimized crystal structure of MoP2Ir (PBE).

Geometry as POSCAR:
```
MoP2Ir
1.0
-2.767 -2.826 -1.180
-0.526 -2.712 -3.066
1.845 -4.379 1.929
P Ir Mo
2 1 1
Direct
0.498 0.498 0.485
0.002 0.002 0.015
0.750 0.750 0.750
0.250 0.250 0.250
```

V, Å³ per atom: 14.033
E_form, meV/atom: -120
Polymorph energy (0 for the lowest one), eV/atom: 0.274